1.
ZrRuCl2, relaxed, DFT PBE; formation energy (no corrections) = 0.112 eV per atom; volume = 70.3 Å³ per cell; offset from the most stable computed form = 712 meV per atom
1.0
-2.114 2.114 3.936
2.114 -2.114 3.936
2.114 2.114 -3.936
Zr Ru Cl
1 1 2
Direct
0.000 0.000 0.000
0.500 0.500 0.000
0.250 0.750 0.500
0.750 0.250 0.500

2.
ZrRu2Cl, relaxed, DFT PBE; formation energy (no corrections) = 0.447 eV per atom; volume = 66.1 Å³ per cell; offset from the most stable computed form = 594 meV per atom
1.0
4.035 0.000 0.000
0.000 4.035 0.000
0.000 0.000 4.058
Zr Ru Cl
1 2 1
Direct
0.000 0.000 0.000
0.000 0.500 0.500
0.500 0.000 0.500
0.500 0.500 0.000

3.
ZrRu2Cl, relaxed, DFT PBE; formation energy (no corrections) = 0.466 eV per atom; volume = 66.2 Å³ per cell; offset from the most stable computed form = 612 meV per atom
1.0
0.000 3.210 3.210
3.210 0.000 3.210
3.210 3.210 0.000
Zr Ru Cl
1 2 1
Direct
0.000 0.000 0.000
0.250 0.250 0.250
0.750 0.750 0.750
0.500 0.500 0.500

4.
ZrRu2Cl, relaxed, DFT PBE; formation energy (no corrections) = 0.353 eV per atom; volume = 65.1 Å³ per cell; offset from the most stable computed form = 499 meV per atom
1.0
-1.910 1.910 4.461
1.910 -1.910 4.461
1.910 1.910 -4.461
Zr Ru Cl
1 2 1
Direct
0.000 0.000 0.000
0.500 0.500 0.000
0.750 0.250 0.500
0.250 0.750 0.500

5.
ZrRuCl2, relaxed, DFT PBE; formation energy (no corrections) = 0.047 eV per atom; volume = 78.0 Å³ per cell; offset from the most stable computed form = 647 meV per atom
1.0
1.517 -2.959 0.000
1.517 2.959 0.000
0.000 0.000 8.686
Zr Ru Cl
1 1 2
Direct
0.000 0.000 0.000
0.000 0.000 0.500
0.500 0.500 0.247
0.500 0.500 0.753

6.
ZrRu2Cl, relaxed, DFT PBE; formation energy (no corrections) = 0.149 eV per atom; volume = 68.0 Å³ per cell; offset from the most stable computed form = 296 meV per atom
1.0
3.228 0.000 0.000
0.000 3.228 0.000
0.000 0.000 6.520
Zr Ru Cl
1 2 1
Direct
0.000 0.000 0.000
0.500 0.500 0.236
0.500 0.500 0.764
0.000 0.000 0.500

7.
ZrRu2Cl2, relaxed, DFT PBE; formation energy (no corrections) = 0.258 eV per atom; volume = 91.3 Å³ per cell; offset from the most stable computed form = 0 meV per atom
1.0
-1.987 1.987 5.781
1.987 -1.987 5.781
1.987 1.987 -5.781
Zr Ru Cl
1 2 2
Direct
0.000 0.000 0.000
0.400 0.400 0.000
0.600 0.600 0.000
0.250 0.750 0.500
0.750 0.250 0.500

8.
ZrRu2Cl, relaxed, DFT PBE; formation energy (no corrections) = -0.146 eV per atom; volume = 78.8 Å³ per cell; offset from the most stable computed form = 0 meV per atom
1.0
3.614 0.000 0.000
0.000 1.506 7.234
0.000 -1.506 7.234
Zr Ru Cl
1 2 1
Direct
0.000 0.000 0.000
0.000 0.818 0.818
0.500 0.380 0.380
0.500 0.613 0.613

9.
ZrRu3Cl, relaxed, DFT PBE; formation energy (no corrections) = 0.645 eV per atom; volume = 84.2 Å³ per cell; offset from the most stable computed form = 0 meV per atom
1.0
4.382 0.000 0.000
0.000 4.382 0.000
0.000 0.000 4.382
Zr Ru Cl
1 3 1
Direct
0.000 0.000 0.000
0.000 0.500 0.500
0.500 0.000 0.500
0.500 0.500 0.000
0.500 0.500 0.500

10.
ZrRuCl2, relaxed, DFT PBE; formation energy (no corrections) = -0.105 eV per atom; volume = 72.4 Å³ per cell; offset from the most stable computed form = 495 meV per atom
1.0
-1.516 2.742 4.353
1.516 -2.742 4.353
1.516 2.742 -4.353
Zr Ru Cl
1 1 2
Direct
0.000 0.000 0.000
0.500 0.500 0.000
0.253 0.753 0.500
0.747 0.247 0.500

11.
ZrRu2Cl, relaxed, DFT PBE; formation energy (no corrections) = 0.141 eV per atom; volume = 65.7 Å³ per cell; offset from the most stable computed form = 287 meV per atom
1.0
4.757 -1.522 0.000
4.757 1.522 0.000
-1.034 0.000 4.541
Zr Ru Cl
1 2 1
Direct
0.000 0.000 0.000
0.504 0.504 0.501
0.773 0.773 0.415
0.259 0.259 0.866

12.
SbS3Cl, relaxed, DFT PBE; formation energy (no corrections) = 0.727 eV per atom; volume = 131.1 Å³ per cell; offset from the most stable computed form = 641 meV per atom
1.0
5.081 0.000 0.000
0.000 5.081 0.000
0.000 0.000 5.081
Sb S Cl
1 3 1
Direct
0.000 0.000 0.000
0.000 0.000 0.500
0.000 0.500 0.000
0.500 0.000 0.000
0.500 0.500 0.500

What is the formation energy (no corrections) in the seventh record?
0.258 eV per atom